[1]
VASP calculation (PBE-GGA) on a relaxed SiPC crystal.

```
SiPC
1.0
5.760 0.000 0.012
0.000 2.845 0.000
-1.410 0.000 4.696
P Si C
2 2 2
Cartesian
1.034 0.000 1.367
0.329 1.423 3.715
3.632 0.000 2.139
2.927 1.423 4.487
-0.208 0.000 2.703
0.497 1.423 0.355
```

Values from the calculation:
* space group: Cm, No. 8
* formation energy without anion corrections: 449 meV per atom



[2]
VASP calculation (PBE-GGA) on a relaxed Ba2In2Sn5 crystal.

```
Ba2In2Sn5
1.0
-0.621 -2.695 -4.138
4.794 0.673 -1.158
2.737 -9.528 5.793
Ba In Sn
2 2 5
Cartesian
0.000 0.000 0.000
1.368 -4.764 2.897
2.425 -2.192 -1.930
4.484 -9.358 2.427
0.451 -4.000 -0.456
1.664 -8.223 2.111
3.159 -2.316 1.034
4.372 -6.539 3.602
3.454 -5.775 0.248
```

Values from the calculation:
* energy relative to the elements: -337 meV per atom
* space group: P4/mmm, No. 123



[3]
VASP calculation (PBE-GGA) on a relaxed LaScZn crystal.

```
LaScZn
1.0
3.573 0.000 0.001
0.001 5.112 -0.040
-1.788 0.148 8.275
Sc Zn La
2 2 2
Cartesian
0.223 0.512 1.790
0.220 3.082 3.877
2.008 0.500 3.980
2.006 3.213 6.138
2.010 3.061 0.736
0.218 0.654 6.661
```

Values from the calculation:
* energy relative to the elements: -160 meV per atom
* space group: Cm, No. 8



[4]
VASP calculation (PBE-GGA) on a relaxed Sm2Dy4Th3 crystal.

```
Sm2Dy4Th3
1.0
-0.986 3.307 0.911
-1.609 -2.816 1.489
18.071 0.005 19.540
Sm Dy Th
2 4 3
Cartesian
0.455 1.266 2.887
14.544 1.271 18.121
9.801 0.003 10.599
6.671 1.268 9.608
2.747 1.267 5.365
13.742 0.004 14.860
17.761 0.005 19.205
5.858 0.002 6.334
10.585 1.270 13.840
```

Values from the calculation:
* energy relative to the elements: 80 meV per atom
* space group: P3m1, No. 156



[5]
VASP calculation (PBE-GGA) on a relaxed CuMoSN2 crystal.

```
CuMoSN2
1.0
-2.084 -2.978 1.214
2.462 -0.546 2.885
-2.773 3.148 2.962
Mo S Cu N
1 1 1 2
Cartesian
0.000 0.000 0.000
-1.387 1.574 1.481
-1.198 -0.188 3.531
1.231 -0.273 1.443
-1.042 -1.489 0.607
```

Values from the calculation:
* space group: P4/mmm, No. 123
* formation energy without anion corrections: 544 meV per atom



[6]
VASP calculation (PBE-GGA) on a relaxed Pr4Er2Tm3 crystal.

```
Pr4Er2Tm3
1.0
-5.696 0.521 4.075
-3.931 -7.650 -3.418
3.486 -5.397 6.661
Pr Er Tm
8 4 6
Cartesian
-4.983 -7.133 0.987
-2.262 -6.854 -1.077
-1.158 -5.394 6.331
-3.878 -5.672 8.395
0.317 -3.368 2.892
-1.415 -8.752 5.371
-6.458 -9.158 4.426
-4.726 -3.774 1.948
-2.609 -3.119 4.585
-4.560 -8.595 7.244
-3.532 -9.408 2.734
-1.581 -3.932 0.074
-4.902 -0.932 3.974
-3.940 -11.290 5.581
-1.238 -11.595 3.344
-2.201 -1.237 1.738
-1.656 -6.396 2.628
-4.485 -6.130 4.691
```

Values from the calculation:
* energy relative to the elements: 159 meV per atom
* space group: C2/c, No. 15



[7]
VASP calculation (PBE-GGA) on a relaxed ScTl2Se crystal.

```
ScTl2Se
1.0
9.453 -0.002 -0.001
8.710 3.674 -0.001
8.710 1.761 3.225
Sc Se Tl
1 1 2
Cartesian
13.153 2.660 1.577
20.684 4.182 2.480
0.042 0.008 0.005
6.431 1.300 0.771
```

Values from the calculation:
* space group: R3m, No. 160
* formation energy without anion corrections: -596 meV per atom



[8]
VASP calculation (PBE-GGA) on a relaxed Tb6Ho2Cd crystal.

```
Tb6Ho2Cd
1.0
-0.172 1.884 5.886
6.549 -9.676 0.037
10.501 -1.921 -2.330
Tb Ho Cd
12 4 2
Cartesian
10.580 -4.991 2.884
7.801 -3.087 3.333
6.298 -4.722 0.710
9.077 -6.626 0.261
10.123 -7.760 4.945
4.666 -4.572 3.770
6.755 -1.953 -1.351
12.212 -5.141 -0.176
5.937 -8.196 0.679
2.108 0.236 2.247
10.941 -1.516 2.914
14.769 -9.948 1.347
11.912 -7.976 1.812
3.330 -1.549 4.921
4.966 -1.737 1.782
13.548 -8.163 -1.327
9.452 -3.236 0.213
7.426 -6.476 3.381
```

Values from the calculation:
* energy relative to the elements: -39 meV per atom
* space group: P-1, No. 2



[9]
VASP calculation (PBE-GGA) on a relaxed NbNi2H crystal.

```
NbNi2H
1.0
0.000 2.881 2.881
2.881 0.000 2.881
2.881 2.881 0.000
Ni Nb H
2 1 1
Cartesian
1.441 1.441 1.441
4.322 4.322 4.322
2.881 2.881 2.881
0.000 0.000 0.000
```

Values from the calculation:
* space group: Fm-3m, No. 225



[10]
VASP calculation (PBE-GGA) on a relaxed HfTl2Ir3O12 crystal.

```
HfTl2Ir3O12
1.0
-1.022 -6.961 -2.250
5.511 -4.917 0.099
0.041 -5.629 4.783
Hf Tl Ir O
1 2 3 12
Cartesian
0.000 0.000 0.000
2.968 -11.471 1.725
1.562 -6.036 0.907
-0.511 -3.481 -1.125
2.756 -2.459 0.050
0.020 -2.814 2.392
1.435 -8.900 3.752
4.161 -12.881 -0.365
4.782 -12.102 3.747
0.784 -9.717 -0.560
0.963 -13.297 2.373
4.789 -8.464 0.880
3.095 -8.607 -1.119
0.369 -4.626 2.997
-0.252 -5.405 -1.115
3.746 -7.790 3.192
3.567 -4.210 0.259
-0.259 -9.043 1.752
```

Values from the calculation:
* space group: R-3m, No. 166
* formation energy without anion corrections: -1074 meV per atom



[11]
VASP calculation (PBE-GGA) on a relaxed BaCa3Rh crystal.

```
BaCa3Rh
1.0
-5.320 -1.514 0.709
-0.639 -0.343 -5.529
1.131 -15.179 -2.002
Ca Rh Ba
6 2 2
Cartesian
-3.651 -5.052 -4.889
-0.050 -11.702 -3.436
-0.381 -11.880 -6.301
-0.894 -4.267 -5.256
-2.462 -2.722 -2.359
-2.366 -14.313 -4.463
-2.266 -13.383 -1.720
-4.903 -4.238 -1.982
0.000 0.000 0.000
-1.244 -8.225 -4.970
```

Values from the calculation:
* energy relative to the elements: 509 meV per atom
* space group: I-4m2, No. 119



[12]
VASP calculation (PBE-GGA) on a relaxed Ac3PrSm12 crystal.

```
Ac3PrSm12
1.0
5.232 0.000 0.000
0.000 5.232 0.000
0.000 0.000 20.902
Ac Pr Sm
3 1 12
Cartesian
0.000 0.000 5.193
0.000 0.000 10.451
0.000 0.000 15.709
0.000 0.000 0.000
2.616 2.616 0.000
2.616 2.616 5.177
2.616 2.616 10.451
2.616 2.616 15.724
2.616 0.000 2.541
2.616 0.000 7.818
2.616 0.000 13.084
2.616 0.000 18.361
0.000 2.616 2.541
0.000 2.616 7.818
0.000 2.616 13.084
0.000 2.616 18.361
```

Values from the calculation:
* energy relative to the elements: 30 meV per atom
* space group: P4/mmm, No. 123



What are the calculated total energy values for these records? In order: -6.237 -3.597 -4.338 -5.487 -6.597 -4.469 -4.233 -4.245 -5.713 -6.672 -2.546 -4.578 eV/atom.
What are the size of the total moment values for these records? In order: 0.000 0.000 0.000 0.001 0.386 0.000 0.000 0.000 0.000 0.000 1.410 0.000 μB per cell.